Entry 1:
Sr3Au2: optimized geometry, PBE.

a b c (Å): 9.112 9.112 3.702
angles (deg): 90.00 90.00 90.00
Space group P4/mbm (No. 127)
Asymmetric unit:
1 Sr 0.000 0.000 0.000 x2
2 Sr 0.134 0.366 0.000 x4
3 Au 0.164 0.664 0.500 x4

E above lowest polymorph ... 205 meV per atom
Final energy ... -27.70 eV/cell
Crystal system ... tetragonal



Entry 2:
Dy2NiSn2: optimized geometry, PBE.

a b c (Å): 10.895 4.441 10.879
angles (deg): 90.00 117.15 90.00
Space group C2/m (No. 12)
Asymmetric unit:
1 Dy 0.004 0.000 0.170 x4
2 Dy 0.186 0.000 0.621 x4
3 Ni 0.222 0.500 0.832 x4
4 Sn 0.025 0.500 0.378 x4
5 Sn 0.161 0.500 0.054 x4

Final energy ... -104.67 eV/cell
Crystal system ... monoclinic



Question: The lowest final energy belongs to which entry?
Answer: Dy2NiSn2